# PuCr4Re

Crystalline PuCr4Re at its relaxed geometry (PBE, Alexandria via LeMat-Bulk).

Properties
space-group type	F-43m (216)
E	-63.30	eV for the cell shown
crystal system	cubic
DFT formation energy	329	meV/atom
size of the total moment	5.6	μB per formula unit
density of states at the Fermi level	1.977	states/eV/atom

Cell: 4.9472 4.9472 4.9472 Å, 60.00 60.00 60.00°
With the nearest neighbours (Å) after each atom.
Positions (direct):
Pu (0.0000, 0.0000, 0.0000)  12 Cr 2.90, 4 Re 3.03
Cr (0.1266, 0.6245, 0.6245)  6 Cr 2.46-2.48
Cr (0.6245, 0.1266, 0.6245)  6 Cr 2.46-2.48
Cr (0.6245, 0.6245, 0.1266)  6 Cr 2.46-2.48
Cr (0.6245, 0.6245, 0.6245)  6 Cr 2.46-2.48
Re (0.2500, 0.2500, 0.2500)  12 Cr 2.90, 4 Pu 3.03